(1)
Here is an optimized crystal structure of SrLaTlIn from the Alexandria database. Energies are from PBE.

## Properties
The value obtained for the formation enthalpy at 0 K is -162.9 kJ/mol of formula units. As for the density of states at the Fermi level: 0.920 states/eV/atom. The uncorrected energy is -3.351 eV per atom. The relative energy among the computed polymorphs comes out at 24 meV per atom.

a = 5.693 Å, b = 5.693 Å, c = 5.693 Å
α = 60.00°, β = 60.00°, γ = 60.00°
Fractional positions:
Sr1 0.750 0.750 0.750
Tl1 0.000 0.000 0.000
In1 0.500 0.500 0.500
La1 0.250 0.250 0.250


(2)
Here is an optimized crystal structure of SrLaTlIn from the Alexandria database. Energies are from PBE.

## Properties
The value obtained for the formation enthalpy at 0 K is -172.0 kJ/mol of formula units. As for the density of states at the Fermi level: 0.579 states/eV/atom. The uncorrected energy is -3.374 eV per atom. The relative energy among the computed polymorphs comes out at 0 meV per atom.

a = 3.985 Å, b = 3.985 Å, c = 8.209 Å
α = 90.00°, β = 90.00°, γ = 90.00°
Fractional positions:
Sr1 0.000 0.000 0.858
La1 0.000 0.000 0.354
Tl1 0.500 0.500 0.600
In1 0.500 0.500 0.115


(3)
Here is an optimized crystal structure of SrLa2YIn from the Alexandria database. Energies are from PBE.

## Properties
The value obtained for the formation enthalpy at 0 K is 181.1 kJ/mol of formula units. As for the density of states at the Fermi level: 1.910 states/eV/atom. The uncorrected energy is -3.773 eV per atom.

a = 6.095 Å, b = 6.126 Å, c = 6.095 Å
α = 90.00°, β = 90.00°, γ = 90.00°
Fractional positions:
Y1 0.500 0.500 0.500
Sr1 0.000 0.500 0.000
In1 0.000 0.000 0.000
La1 0.000 0.000 0.500
La2 0.500 0.000 0.000


(4)
Here is an optimized crystal structure of SrLaZr2In from the Alexandria database. Energies are from PBE.

## Properties
The value obtained for the formation enthalpy at 0 K is 388.4 kJ/mol of formula units. As for the density of states at the Fermi level: 1.258 states/eV/atom. The uncorrected energy is -4.484 eV per atom.

a = 5.303 Å, b = 6.105 Å, c = 5.303 Å
α = 90.00°, β = 90.00°, γ = 90.00°
Fractional positions:
Sr1 0.500 0.500 0.500
In1 0.000 0.500 0.000
Zr1 0.000 0.000 0.500
Zr2 0.500 0.000 0.000
La1 0.000 0.000 0.000


(5)
Here is an optimized crystal structure of LaTa2In from the Alexandria database. Energies are from PBE.

## Properties
The value obtained for the formation enthalpy at 0 K is 160.0 kJ/mol of formula units. As for the density of states at the Fermi level: 1.036 states/eV/atom. The uncorrected energy is -7.428 eV per atom.

a = 5.897 Å, b = 5.897 Å, c = 5.897 Å
α = 143.50°, β = 129.46°, γ = 63.94°
Fractional positions:
In1 0.511 0.511 0.000
La1 0.233 0.733 0.500
Ta1 0.977 0.977 0.000
Ta2 0.779 0.279 0.500


(6)
Here is an optimized crystal structure of LaTa2In from the Alexandria database. Energies are from PBE.

## Properties
The value obtained for the formation enthalpy at 0 K is 157.3 kJ/mol of formula units. As for the density of states at the Fermi level: 1.192 states/eV/atom. The uncorrected energy is -7.435 eV per atom.

a = 5.288 Å, b = 5.288 Å, c = 5.288 Å
α = 127.87°, β = 127.87°, γ = 76.84°
Fractional positions:
In1 0.500 0.500 0.000
La1 0.750 0.250 0.500
Ta1 0.000 0.000 0.000
Ta2 0.250 0.750 0.500


(7)
Here is an optimized crystal structure of LaTa2In from the Alexandria database. Energies are from PBE.

## Properties
The value obtained for the formation enthalpy at 0 K is 95.2 kJ/mol of formula units. As for the density of states at the Fermi level: 1.049 states/eV/atom. The uncorrected energy is -7.596 eV per atom.

a = 2.989 Å, b = 2.989 Å, c = 10.048 Å
α = 90.00°, β = 90.00°, γ = 90.00°
Fractional positions:
In1 0.000 0.000 0.471
La1 0.500 0.500 0.752
Ta1 0.000 0.000 0.031
Ta2 0.500 0.500 0.245


(8)
Here is an optimized crystal structure of LaTa2In from the Alexandria database. Energies are from PBE.

## Properties
The value obtained for the formation enthalpy at 0 K is 42.6 kJ/mol of formula units. As for the density of states at the Fermi level: 1.055 states/eV/atom. The uncorrected energy is -7.732 eV per atom.

a = 3.510 Å, b = 3.510 Å, c = 7.754 Å
α = 90.00°, β = 90.00°, γ = 90.00°
Fractional positions:
In1 0.000 0.000 0.453
La1 0.500 0.500 0.768
Ta1 0.000 0.000 0.059
Ta2 0.500 0.500 0.219